Entry 1:
Computed, not measured: V2Cu2Pd after structural relaxation at the PBE level of DFT.

It has space group P4/mbm (No. 127), with a = 6.9953 Å, b = 6.9953 Å, c = 2.7509 Å, α = 90.00°, β = 90.00° and γ = 90.00°. The inequivalent atoms are V at (0.1714, 0.3286, 0.0000), Cu at (0.1251, 0.6251, 0.5000) and Pd at (0.0000, 0.0000, 0.5000).

Its energy above the most stable polymorph in this dataset is 0.00 kcal/mol of atoms. As for the density of states at the Fermi level: 11.87 states/eV/cell. The formation energy comes out at 0.176 eV per atom. The calculation puts the total magnetic moment at 0.002 μB per cell. Its crystal system is tetragonal. The calculation puts the volume at 134.61 Å³/cell.


Entry 2:
Computed, not measured: KGaTe2I after structural relaxation at the PBE level of DFT.

It has space group P4/mmm (No. 123), with a = 6.4122 Å, b = 6.4122 Å, c = 6.4317 Å, α = 90.00°, β = 90.00° and γ = 90.00°. The inequivalent atoms are K at (0.0000, 0.0000, 0.0000), Ga at (0.5000, 0.5000, 0.5000), Te at (0.0000, 0.5000, 0.0000) and I at (0.0000, 0.0000, 0.5000).

Its energy above the most stable polymorph in this dataset is 17.37 kcal/mol of atoms. As for the density of states at the Fermi level: 5.89 states/eV/cell. The value obtained for the formation energy (no corrections) is 0.394 eV/atom. The calculation puts the total magnetic moment at 3.002 μB per cell. Its crystal system is tetragonal. The calculation puts the volume at 264.45 Å³/cell.


Entry 3:
Computed, not measured: CsCdInHg2 after structural relaxation at the PBE level of DFT.

It has space group P4/mmm (No. 123), with a = 5.8253 Å, b = 5.8253 Å, c = 5.7641 Å, α = 90.00°, β = 90.00° and γ = 90.00°. The inequivalent atoms are Cs at (0.0000, 0.0000, 0.0000), Cd at (0.5000, 0.5000, 0.0000), In at (0.5000, 0.5000, 0.5000) and Hg at (0.0000, 0.5000, 0.5000).

Its energy above the most stable polymorph in this dataset is 1.83 kcal/mol of atoms. As for the density of states at the Fermi level: 2.82 states/eV/cell. The formation energy comes out at -0.062 eV per atom. The calculation puts the total magnetic moment at 0.000 μB per cell. Its crystal system is tetragonal. The calculation puts the volume at 195.60 Å³/cell.


Entry 4:
Computed, not measured: Rb2NaSbPd after structural relaxation at the PBE level of DFT.

It has space group P4/mmm (No. 123), with a = 6.5760 Å, b = 6.5760 Å, c = 5.0874 Å, α = 90.00°, β = 90.00° and γ = 90.00°. The inequivalent atoms are Rb at (0.0000, 0.5000, 0.0000), Na at (0.0000, 0.0000, 0.5000), Sb at (0.5000, 0.5000, 0.5000) and Pd at (0.5000, 0.5000, 0.0000).

As for the density of states at the Fermi level: 2.86 states/eV/cell. The value obtained for the formation energy (no corrections) is -0.139 eV/atom. The calculation puts the total magnetic moment at 0.000 μB per cell. Its crystal system is tetragonal. The calculation puts the volume at 220.00 Å³/cell.


Entry 5:
Computed, not measured: RbTeCI2 after structural relaxation at the PBE level of DFT.

It has space group P4/mmm (No. 123), with a = 6.2221 Å, b = 6.2221 Å, c = 4.3710 Å, α = 90.00°, β = 90.00° and γ = 90.00°. The inequivalent atoms are Rb at (0.0000, 0.0000, 0.0000), Te at (0.5000, 0.5000, 0.0000), C at (0.5000, 0.5000, 0.5000) and I at (0.0000, 0.5000, 0.5000).

Its energy above the most stable polymorph in this dataset is 0.00 kcal/mol of atoms. As for the density of states at the Fermi level: 3.05 states/eV/cell. The value obtained for the formation energy (no corrections) is 0.449 eV/atom. The calculation puts the total magnetic moment at 0.000 μB per cell. Its crystal system is tetragonal. The calculation puts the volume at 169.22 Å³/cell.


Entry 6:
Computed, not measured: Y2OsPb after structural relaxation at the PBE level of DFT.

It has space group R3m (No. 160, hexagonal axes), with a = 3.4900 Å, b = 3.4900 Å, c = 29.3414 Å, α = 90.00°, β = 90.00° and γ = 120.00°. The inequivalent atoms are Y at (0.0000, 0.0000, 0.0000), Y at (0.0000, 0.0000, 0.2279), Os at (0.0000, 0.0000, 0.7365) and Pb at (0.0000, 0.0000, 0.4713).

As for the density of states at the Fermi level: 6.44 states/eV/cell. The formation energy comes out at 0.348 eV per atom. The calculation puts the total magnetic moment at 2.408 μB per cell. Its crystal system is trigonal. The calculation puts the volume at 309.50 Å³/cell.


Entry 7:
Computed, not measured: MnReRu after structural relaxation at the PBE level of DFT.

It has space group Imm2 (No. 44), with a = 2.6865 Å, b = 3.7755 Å, c = 8.0267 Å, α = 90.00°, β = 90.00° and γ = 90.00°. The inequivalent atoms are Mn at (0.0000, 0.0000, 0.0000), Re at (0.0000, 0.0000, 0.6665) and Ru at (0.0000, 0.0000, 0.3371).

Its energy above the most stable polymorph in this dataset is 0.00 kcal/mol of atoms. As for the density of states at the Fermi level: 6.95 states/eV/cell. The formation energy comes out at 0.079 eV per atom. The calculation puts the total magnetic moment at 3.196 μB per cell. Its crystal system is orthorhombic. The calculation puts the volume at 81.42 Å³/cell.


Entry 8:
Computed, not measured: Ta2MoCl after structural relaxation at the PBE level of DFT.

It has space group P4mm (No. 99), with a = 3.1951 Å, b = 3.1951 Å, c = 7.7753 Å, α = 90.00°, β = 90.00° and γ = 90.00°. The inequivalent atoms are Ta at (0.0000, 0.0000, 0.0000), Ta at (0.5000, 0.5000, 0.2203), Mo at (0.5000, 0.5000, 0.8224) and Cl at (0.0000, 0.0000, 0.4618).

Its energy above the most stable polymorph in this dataset is 4.35 kcal/mol of atoms. As for the density of states at the Fermi level: 2.46 states/eV/cell. The value obtained for the formation energy (no corrections) is 0.268 eV/atom. The calculation puts the total magnetic moment at 0.000 μB per cell. Its crystal system is tetragonal. The calculation puts the volume at 79.38 Å³/cell.


Entry 9:
Computed, not measured: NaSrBiSe3 after structural relaxation at the PBE level of DFT.

It has space group P2_1/m (No. 11), with a = 7.5783 Å, b = 4.3190 Å, c = 10.6944 Å, α = 90.00°, β = 90.15° and γ = 90.00°. The inequivalent atoms are Na at (0.2471, 0.2500, 0.0074), Sr at (0.4177, 0.7500, 0.6719), Bi at (0.0937, 0.7500, 0.3188), Se at (0.0716, 0.7500, 0.8254), Se at (0.2420, 0.2500, 0.4953) and Se at (0.4000, 0.7500, 0.1695).

As for the density of states at the Fermi level: 0.00 states/eV/cell. The value obtained for the formation energy (no corrections) is -1.161 eV/atom. The calculation puts the total magnetic moment at 0.000 μB per cell. Its crystal system is monoclinic. The calculation puts the volume at 350.04 Å³/cell.


Entry 10:
Computed, not measured: TbIn2 after structural relaxation at the PBE level of DFT.

It has space group Fd-3m (No. 227, origin choice 2), with a = 8.4885 Å, b = 8.4885 Å, c = 8.4885 Å, α = 90.00°, β = 90.00° and γ = 90.00°. The inequivalent atoms are Tb at (0.1250, 0.1250, 0.1250) and In at (0.0000, 0.0000, 0.5000).

As for the density of states at the Fermi level: 15.91 states/eV/cell. The formation energy comes out at -0.347 eV per atom. The calculation puts the total magnetic moment at 0.000 μB per cell. Its crystal system is cubic. The calculation puts the volume at 611.63 Å³/cell.


Entry 11:
Computed, not measured: AlHg2Sb2 after structural relaxation at the PBE level of DFT.

It has space group I4/mmm (No. 139), with a = 3.9808 Å, b = 3.9808 Å, c = 18.0675 Å, α = 90.00°, β = 90.00° and γ = 90.00°. The inequivalent atoms are Al at (0.0000, 0.0000, 0.0000), Hg at (0.0000, 0.5000, 0.2500) and Sb at (0.0000, 0.0000, 0.4221).

Its energy above the most stable polymorph in this dataset is 0.00 kcal/mol of atoms. As for the density of states at the Fermi level: 3.14 states/eV/cell. The value obtained for the formation energy (no corrections) is 0.213 eV/atom. The calculation puts the total magnetic moment at 0.000 μB per cell. Its crystal system is tetragonal. The calculation puts the volume at 286.31 Å³/cell.


Question: The highest volume belongs to which entry?
Answer: TbIn2


Question: Which of these has the highest total magnetic moment?
Answer: MnReRu


Question: Number 8 is which compound?
Answer: Ta2MoCl